Entry from the Alexandria database: a relaxed structure of Tm3Mg2Sc7 (PBE).

```
data_Tm3Mg2Sc7
_chemical_formula_sum 'Tm3 Mg2 Sc7'
_cell_length_a 5.377
_cell_length_b 3.325
_cell_length_c 17.532
_cell_angle_alpha 90.00
_cell_angle_beta 93.59
_cell_angle_gamma 90.00
_symmetry_space_group_name_H-M 'P 1 2/m 1'
_symmetry_Int_Tables_number 10
loop_
_symmetry_equiv_pos_as_xyz
'x,y,z'
'-x,-y,-z'
'-x,y,-z'
'x,-y,z'
loop_
_atom_site_label
_atom_site_fract_x
_atom_site_fract_y
_atom_site_fract_z
Tm1 0.000 0.000 0.000
Tm2 0.276 0.500 0.630
Mg1 0.207 0.000 0.291
Sc1 0.192 0.500 0.145
Sc2 0.242 0.000 0.462
Sc3 0.308 0.000 0.834
Sc4 0.500 0.500 0.000
```

***

Entry from the Alexandria database: a relaxed structure of SmAl2Au9 (PBE).

```
data_SmAl2Au9
_chemical_formula_sum 'Sm4 Al8 Au36'
_cell_length_a 11.484
_cell_length_b 11.484
_cell_length_c 6.953
_cell_angle_alpha 90.00
_cell_angle_beta 90.00
_cell_angle_gamma 90.00
_symmetry_space_group_name_H-M 'I 41/a m d'
_symmetry_Int_Tables_number 141
loop_
_symmetry_equiv_pos_as_xyz
'x,y,z'
'-x,-y,-z'
'-y+1/4,x+3/4,z+1/4'
'y+1/4,-x+3/4,-z+1/4'
'-x+1/2,-y,z+1/2'
'x+1/2,y,-z+1/2'
'y+1/4,-x+1/4,z+3/4'
'-y+1/4,x+1/4,-z+3/4'
'x,-y,-z'
'-x,y,z'
'-y+1/4,-x+1/4,-z+3/4'
'y+1/4,x+1/4,z+3/4'
'-x+1/2,y,-z+1/2'
'x+1/2,-y,z+1/2'
'y+1/4,x+3/4,-z+1/4'
'-y+1/4,-x+3/4,z+1/4'
'x+1/2,y+1/2,z+1/2'
'-x+1/2,-y+1/2,-z+1/2'
'-y+3/4,x+1/4,z+3/4'
'y+3/4,-x+1/4,-z+3/4'
'-x,-y+1/2,z'
'x,y+1/2,-z'
'y+3/4,-x+3/4,z+1/4'
'-y+3/4,x+3/4,-z+1/4'
'x+1/2,-y+1/2,-z+1/2'
'-x+1/2,y+1/2,z+1/2'
'-y+3/4,-x+3/4,-z+1/4'
'y+3/4,x+3/4,z+1/4'
'-x,y+1/2,-z'
'x,-y+1/2,z'
'y+3/4,x+1/4,-z+3/4'
'-y+3/4,-x+1/4,z+3/4'
loop_
_atom_site_label
_atom_site_fract_x
_atom_site_fract_y
_atom_site_fract_z
Sm1 0.000 0.250 0.375
Al1 0.000 0.000 0.000
Au1 0.000 0.250 0.875
Au2 0.122 0.065 0.668
```

***

Number 1: DFT total energy -4.982 eV per atom. Number 2: DFT total energy -3.832 eV per atom.